1.
The following is a PBE calculation of HfBeCoPb after structural relaxation, from OQMD.

```
data_HfBeCoPb
_chemical_formula_sum 'Hf4 Be4 Co4 Pb4'
_cell_length_a 6.3291
_cell_length_b 6.3291
_cell_length_c 6.3291
_cell_angle_alpha 90.00
_cell_angle_beta 90.00
_cell_angle_gamma 90.00
_space_group_name_H-M_alt 'F -4 3 m'
_space_group_IT_number 216
_space_group_name_Hall 'F -4 2 3'
loop_
_atom_site_label
_atom_site_fract_x
_atom_site_fract_y
_atom_site_fract_z
Hf1 0.0000 0.0000 0.0000
Be1 0.2500 0.2500 0.2500
Co1 0.2500 0.2500 0.7500
Pb1 0.0000 0.0000 0.5000
```

Calculated values
**ρ**: 11.88 Mg/m³
**Spin magnetization**: 0.03 μB/f.u.



2.
The following is a PBE calculation of HfBeCoPb after structural relaxation, from OQMD.

```
data_HfBeCoPb
_chemical_formula_sum 'Hf4 Be4 Co4 Pb4'
_cell_length_a 6.4419
_cell_length_b 6.4419
_cell_length_c 6.4419
_cell_angle_alpha 90.00
_cell_angle_beta 90.00
_cell_angle_gamma 90.00
_space_group_name_H-M_alt 'F -4 3 m'
_space_group_IT_number 216
_space_group_name_Hall 'F -4 2 3'
loop_
_atom_site_label
_atom_site_fract_x
_atom_site_fract_y
_atom_site_fract_z
Hf1 0.0000 0.0000 0.0000
Be1 0.2500 0.2500 0.7500
Co1 0.0000 0.0000 0.5000
Pb1 0.2500 0.2500 0.2500
```

Calculated values
**ρ**: 11.27 Mg/m³
**Spin magnetization**: 0.94 μB/f.u.



Which of them is least stable? Easy: 2.



1.
The following is a PBE calculation of HfBeCoSn after structural relaxation, from OQMD.

```
data_HfBeCoSn
_chemical_formula_sum 'Hf4 Be4 Co4 Sn4'
_cell_length_a 6.3138
_cell_length_b 6.3138
_cell_length_c 6.3138
_cell_angle_alpha 90.00
_cell_angle_beta 90.00
_cell_angle_gamma 90.00
_space_group_name_H-M_alt 'F -4 3 m'
_space_group_IT_number 216
_space_group_name_Hall 'F -4 2 3'
loop_
_atom_site_label
_atom_site_fract_x
_atom_site_fract_y
_atom_site_fract_z
Hf1 0.0000 0.0000 0.0000
Be1 0.2500 0.2500 0.7500
Co1 0.0000 0.0000 0.5000
Sn1 0.2500 0.2500 0.2500
```

Calculated values
**ρ**: 9.64 Mg/m³
**Spin magnetization**: 1.01 μB/f.u.



2.
The following is a PBE calculation of HfBeCoSn after structural relaxation, from OQMD.

```
data_HfBeCoSn
_chemical_formula_sum 'Hf4 Be4 Co4 Sn4'
_cell_length_a 6.2069
_cell_length_b 6.2069
_cell_length_c 6.2069
_cell_angle_alpha 90.00
_cell_angle_beta 90.00
_cell_angle_gamma 90.00
_space_group_name_H-M_alt 'F -4 3 m'
_space_group_IT_number 216
_space_group_name_Hall 'F -4 2 3'
loop_
_atom_site_label
_atom_site_fract_x
_atom_site_fract_y
_atom_site_fract_z
Hf1 0.0000 0.0000 0.0000
Be1 0.2500 0.2500 0.2500
Co1 0.2500 0.2500 0.7500
Sn1 0.0000 0.0000 0.5000
```

Calculated values
**ρ**: 10.14 Mg/m³
**Spin magnetization**: 0.02 μB/f.u.



Which of them is least stable? Easy: 1.



1.
The following is a PBE calculation of YHfBeCo after structural relaxation, from OQMD.

```
data_YHfBeCo
_chemical_formula_sum 'Y4 Hf4 Be4 Co4'
_cell_length_a 6.3775
_cell_length_b 6.3775
_cell_length_c 6.3775
_cell_angle_alpha 90.00
_cell_angle_beta 90.00
_cell_angle_gamma 90.00
_space_group_name_H-M_alt 'F -4 3 m'
_space_group_IT_number 216
_space_group_name_Hall 'F -4 2 3'
loop_
_atom_site_label
_atom_site_fract_x
_atom_site_fract_y
_atom_site_fract_z
Y1 0.0000 0.0000 0.0000
Hf1 0.2500 0.2500 0.7500
Be1 0.2500 0.2500 0.2500
Co1 0.0000 0.0000 0.5000
```

Calculated values
**ρ**: 8.59 Mg/m³
**Spin magnetization**: 0.00 μB/f.u.



2.
The following is a PBE calculation of YHfBeCo after structural relaxation, from OQMD.

```
data_YHfBeCo
_chemical_formula_sum 'Y4 Hf4 Be4 Co4'
_cell_length_a 6.5136
_cell_length_b 6.5136
_cell_length_c 6.5136
_cell_angle_alpha 90.00
_cell_angle_beta 90.00
_cell_angle_gamma 90.00
_space_group_name_H-M_alt 'F -4 3 m'
_space_group_IT_number 216
_space_group_name_Hall 'F -4 2 3'
loop_
_atom_site_label
_atom_site_fract_x
_atom_site_fract_y
_atom_site_fract_z
Y1 0.0000 0.0000 0.0000
Hf1 0.0000 0.0000 0.5000
Be1 0.2500 0.2500 0.2500
Co1 0.2500 0.2500 0.7500
```

Calculated values
**ρ**: 8.06 Mg/m³
**Spin magnetization**: 0.04 μB/f.u.



Which of them is least stable? Easy: 1.



1.
The following is a PBE calculation of LuBeInCo after structural relaxation, from OQMD.

```
data_LuBeInCo
_chemical_formula_sum 'Lu4 Be4 In4 Co4'
_cell_length_a 6.4076
_cell_length_b 6.4076
_cell_length_c 6.4076
_cell_angle_alpha 90.00
_cell_angle_beta 90.00
_cell_angle_gamma 90.00
_space_group_name_H-M_alt 'F -4 3 m'
_space_group_IT_number 216
_space_group_name_Hall 'F -4 2 3'
loop_
_atom_site_label
_atom_site_fract_x
_atom_site_fract_y
_atom_site_fract_z
Lu1 0.0000 0.0000 0.0000
Be1 0.2500 0.2500 0.7500
In1 0.2500 0.2500 0.2500
Co1 0.0000 0.0000 0.5000
```

Calculated values
**ρ**: 9.03 Mg/m³
**Spin magnetization**: 0.01 μB/f.u.



2.
The following is a PBE calculation of LuBeInCo after structural relaxation, from OQMD.

```
data_LuBeInCo
_chemical_formula_sum 'Lu4 Be4 In4 Co4'
_cell_length_a 6.3708
_cell_length_b 6.3708
_cell_length_c 6.3708
_cell_angle_alpha 90.00
_cell_angle_beta 90.00
_cell_angle_gamma 90.00
_space_group_name_H-M_alt 'F -4 3 m'
_space_group_IT_number 216
_space_group_name_Hall 'F -4 2 3'
loop_
_atom_site_label
_atom_site_fract_x
_atom_site_fract_y
_atom_site_fract_z
Lu1 0.0000 0.0000 0.0000
Be1 0.2500 0.2500 0.2500
In1 0.0000 0.0000 0.5000
Co1 0.2500 0.2500 0.7500
```

Calculated values
**ρ**: 9.19 Mg/m³
**Spin magnetization**: 0.02 μB/f.u.



Which of them is least stable? Easy: 1.



1.
The following is a PBE calculation of BeInCoMo after structural relaxation, from OQMD.

```
data_BeInCoMo
_chemical_formula_sum 'Be4 In4 Co4 Mo4'
_cell_length_a 6.0371
_cell_length_b 6.0371
_cell_length_c 6.0371
_cell_angle_alpha 90.00
_cell_angle_beta 90.00
_cell_angle_gamma 90.00
_space_group_name_H-M_alt 'F -4 3 m'
_space_group_IT_number 216
_space_group_name_Hall 'F -4 2 3'
loop_
_atom_site_label
_atom_site_fract_x
_atom_site_fract_y
_atom_site_fract_z
Be1 0.0000 0.0000 0.0000
In1 0.2500 0.2500 0.2500
Co1 0.0000 0.0000 0.5000
Mo1 0.2500 0.2500 0.7500
```

Calculated values
**ρ**: 8.41 Mg/m³
**Spin magnetization**: 2.00 μB/f.u.



2.
The following is a PBE calculation of BeInCoMo after structural relaxation, from OQMD.

```
data_BeInCoMo
_chemical_formula_sum 'Be4 In4 Co4 Mo4'
_cell_length_a 6.1167
_cell_length_b 6.1167
_cell_length_c 6.1167
_cell_angle_alpha 90.00
_cell_angle_beta 90.00
_cell_angle_gamma 90.00
_space_group_name_H-M_alt 'F -4 3 m'
_space_group_IT_number 216
_space_group_name_Hall 'F -4 2 3'
loop_
_atom_site_label
_atom_site_fract_x
_atom_site_fract_y
_atom_site_fract_z
Be1 0.0000 0.0000 0.0000
In1 0.0000 0.0000 0.5000
Co1 0.2500 0.2500 0.7500
Mo1 0.2500 0.2500 0.2500
```

Calculated values
**ρ**: 8.09 Mg/m³
**Spin magnetization**: 2.47 μB/f.u.



Which of them is least stable? Easy: 2.



1.
The following is a PBE calculation of ScBeInCo after structural relaxation, from OQMD.

```
data_ScBeInCo
_chemical_formula_sum 'Sc4 Be4 In4 Co4'
_cell_length_a 6.2378
_cell_length_b 6.2378
_cell_length_c 6.2378
_cell_angle_alpha 90.00
_cell_angle_beta 90.00
_cell_angle_gamma 90.00
_space_group_name_H-M_alt 'F -4 3 m'
_space_group_IT_number 216
_space_group_name_Hall 'F -4 2 3'
loop_
_atom_site_label
_atom_site_fract_x
_atom_site_fract_y
_atom_site_fract_z
Sc1 0.0000 0.0000 0.0000
Be1 0.2500 0.2500 0.7500
In1 0.2500 0.2500 0.2500
Co1 0.0000 0.0000 0.5000
```

Calculated values
**ρ**: 6.23 Mg/m³
**Spin magnetization**: 0.00 μB/f.u.



2.
The following is a PBE calculation of ScBeInCo after structural relaxation, from OQMD.

```
data_ScBeInCo
_chemical_formula_sum 'Sc4 Be4 In4 Co4'
_cell_length_a 6.2257
_cell_length_b 6.2257
_cell_length_c 6.2257
_cell_angle_alpha 90.00
_cell_angle_beta 90.00
_cell_angle_gamma 90.00
_space_group_name_H-M_alt 'F -4 3 m'
_space_group_IT_number 216
_space_group_name_Hall 'F -4 2 3'
loop_
_atom_site_label
_atom_site_fract_x
_atom_site_fract_y
_atom_site_fract_z
Sc1 0.0000 0.0000 0.0000
Be1 0.2500 0.2500 0.2500
In1 0.0000 0.0000 0.5000
Co1 0.2500 0.2500 0.7500
```

Calculated values
**ρ**: 6.27 Mg/m³
**Spin magnetization**: 0.03 μB/f.u.



Which of them is least stable? Easy: 1.



1.
The following is a PBE calculation of BeInCoW after structural relaxation, from OQMD.

```
data_BeInCoW
_chemical_formula_sum 'Be4 In4 Co4 W4'
_cell_length_a 6.1319
_cell_length_b 6.1319
_cell_length_c 6.1319
_cell_angle_alpha 90.00
_cell_angle_beta 90.00
_cell_angle_gamma 90.00
_space_group_name_H-M_alt 'F -4 3 m'
_space_group_IT_number 216
_space_group_name_Hall 'F -4 2 3'
loop_
_atom_site_label
_atom_site_fract_x
_atom_site_fract_y
_atom_site_fract_z
Be1 0.0000 0.0000 0.0000
In1 0.0000 0.0000 0.5000
Co1 0.2500 0.2500 0.7500
W1 0.2500 0.2500 0.2500
```

Calculated values
**ρ**: 10.56 Mg/m³
**Spin magnetization**: 2.33 μB/f.u.



2.
The following is a PBE calculation of BeInCoW after structural relaxation, from OQMD.

```
data_BeInCoW
_chemical_formula_sum 'Be4 In4 Co4 W4'
_cell_length_a 6.0474
_cell_length_b 6.0474
_cell_length_c 6.0474
_cell_angle_alpha 90.00
_cell_angle_beta 90.00
_cell_angle_gamma 90.00
_space_group_name_H-M_alt 'F -4 3 m'
_space_group_IT_number 216
_space_group_name_Hall 'F -4 2 3'
loop_
_atom_site_label
_atom_site_fract_x
_atom_site_fract_y
_atom_site_fract_z
Be1 0.0000 0.0000 0.0000
In1 0.2500 0.2500 0.2500
Co1 0.0000 0.0000 0.5000
W1 0.2500 0.2500 0.7500
```

Calculated values
**ρ**: 11.01 Mg/m³
**Spin magnetization**: 2.02 μB/f.u.



Which of them is least stable? Easy: 1.



1.
The following is a PBE calculation of BeZnInCo after structural relaxation, from OQMD.

```
data_BeZnInCo
_chemical_formula_sum 'Be4 Zn4 In4 Co4'
_cell_length_a 5.9939
_cell_length_b 5.9939
_cell_length_c 5.9939
_cell_angle_alpha 90.00
_cell_angle_beta 90.00
_cell_angle_gamma 90.00
_space_group_name_H-M_alt 'F -4 3 m'
_space_group_IT_number 216
_space_group_name_Hall 'F -4 2 3'
loop_
_atom_site_label
_atom_site_fract_x
_atom_site_fract_y
_atom_site_fract_z
Be1 0.0000 0.0000 0.0000
Zn1 0.0000 0.0000 0.5000
In1 0.2500 0.2500 0.7500
Co1 0.2500 0.2500 0.2500
```

Calculated values
**ρ**: 7.65 Mg/m³
**Spin magnetization**: 0.00 μB/f.u.



2.
The following is a PBE calculation of BeZnInCo after structural relaxation, from OQMD.

```
data_BeZnInCo
_chemical_formula_sum 'Be4 Zn4 In4 Co4'
_cell_length_a 6.0006
_cell_length_b 6.0006
_cell_length_c 6.0006
_cell_angle_alpha 90.00
_cell_angle_beta 90.00
_cell_angle_gamma 90.00
_space_group_name_H-M_alt 'F -4 3 m'
_space_group_IT_number 216
_space_group_name_Hall 'F -4 2 3'
loop_
_atom_site_label
_atom_site_fract_x
_atom_site_fract_y
_atom_site_fract_z
Be1 0.0000 0.0000 0.0000
Zn1 0.2500 0.2500 0.2500
In1 0.2500 0.2500 0.7500
Co1 0.0000 0.0000 0.5000
```

Calculated values
**ρ**: 7.63 Mg/m³
**Spin magnetization**: 0.00 μB/f.u.



Which of them is least stable? Easy: 1.